Entry one
SnPPb: relaxed, PBE.

Summary:
Magnetic moment, μB/f.u.: 0.00
Calculated volume, Å³/f.u.: 80.83

Unit cell a=3.8524 b=3.8524 c=18.8678 alpha=90.00 beta=90.00 gamma=120.00
Fractional positions:
Pb (0.0000, 0.0000, 0.8432)
Pb (0.3333, 0.6667, 0.5098)
Pb (0.6667, 0.3333, 0.1765)
Sn (0.6667, 0.3333, 0.9876)
Sn (0.3333, 0.6667, 0.3209)
Sn (0.0000, 0.0000, 0.6542)
P (0.0000, 0.0000, 0.0670)
P (0.3333, 0.6667, 0.7337)
P (0.6667, 0.3333, 0.4003)

=====

Entry two
SnPPb: relaxed, PBE.

Summary:
Magnetic moment, μB/f.u.: 0.00
Calculated volume, Å³/f.u.: 82.38

Unit cell a=3.9595 b=6.2367 c=6.9723 alpha=92.00 beta=106.74 gamma=90.11
Fractional positions:
P (0.4480, 0.1264, 0.8781)
P (0.8031, 0.6367, 0.5937)
Pb (0.1112, 0.1182, 0.2015)
Pb (0.4598, 0.5706, 0.9040)
Sn (0.8132, 0.0620, 0.6117)
Sn (0.1674, 0.6195, 0.3247)

=====

Entry three
SnPPb: relaxed, PBE.

Summary:
Magnetic moment, μB/f.u.: 0.00
Calculated volume, Å³/f.u.: 83.46

Unit cell a=3.9729 b=6.3901 c=6.8905 alpha=90.00 beta=107.41 gamma=90.00
Fractional positions:
Sn (0.6784, 0.6236, 0.8574)
Sn (0.3216, 0.1236, 0.1426)
Pb (0.0202, 0.0622, 0.5596)
Pb (0.9798, 0.5622, 0.4404)
P (0.6891, 0.0334, 0.8833)
P (0.3109, 0.5334, 0.1167)

=====

Entry four
SnPPb: relaxed, PBE.

Summary:
Magnetic moment, μB/f.u.: 0.00
Calculated volume, Å³/f.u.: 80.26

Unit cell a=5.8805 b=3.8765 c=7.0440 alpha=90.00 beta=91.54 gamma=90.00
Fractional positions:
P (0.0098, 0.7500, 0.2352)
P (0.9902, 0.2500, 0.7648)
Pb (0.7151, 0.2500, 0.4153)
Pb (0.2849, 0.7500, 0.5847)
Sn (0.2751, 0.2500, 0.0831)
Sn (0.7249, 0.7500, 0.9169)

=====

Relative energy table, unit eV/atom: entry one 0.030; entry two 0.010; entry three 0.000; entry four 0.021

=====

Entry one
SnPPb2: relaxed, PBE.

Summary:
Magnetic moment, μB/f.u.: 0.00
Calculated volume, Å³/f.u.: 121.54

Unit cell a=3.7746 b=3.7746 c=10.0885 alpha=79.22 beta=79.22 gamma=60.00
Fractional positions:
Sn (0.0000, 0.0000, 0.0000)
Pb (0.1068, 0.1068, 0.6796)
Pb (0.8932, 0.8932, 0.3204)
P (0.5000, 0.5000, 0.5000)

=====

Entry two
SnPPb2: relaxed, PBE.

Summary:
Magnetic moment, μB/f.u.: 0.00
Calculated volume, Å³/f.u.: 105.22

Unit cell a=5.2992 b=5.2992 c=5.2992 alpha=60.00 beta=60.00 gamma=60.00
Fractional positions:
Pb (0.2500, 0.2500, 0.2500)
Pb (0.7500, 0.7500, 0.7500)
P (0.0000, 0.0000, 0.0000)
Sn (0.5000, 0.5000, 0.5000)

=====

Relative energy table, unit eV/atom: entry one 0.000; entry two 0.049

=====

Entry one
TaPPb: relaxed, PBE.

Summary:
Magnetic moment, μB/f.u.: 0.00
Calculated volume, Å³/f.u.: 62.59

Unit cell a=4.2997 b=4.2997 c=3.9095 alpha=90.00 beta=90.00 gamma=120.00
Fractional positions:
Ta (0.3333, 0.6667, 0.5000)
P (0.0000, 0.0000, 0.5000)
Pb (0.6667, 0.3333, 0.0000)

=====

Entry two
TaPPb: relaxed, PBE.

Summary:
Magnetic moment, μB/f.u.: 0.00
Calculated volume, Å³/f.u.: 64.22

Unit cell a=4.4950 b=4.4950 c=4.4950 alpha=60.00 beta=60.00 gamma=60.00
Fractional positions:
P (0.2500, 0.2500, 0.2500)
Ta (0.5000, 0.5000, 0.5000)
Pb (0.0000, 0.0000, 0.0000)

=====

Entry three
TaPPb: relaxed, PBE.

Summary:
Magnetic moment, μB/f.u.: 0.00
Calculated volume, Å³/f.u.: 60.96

Unit cell a=5.9056 b=5.9056 c=5.9056 alpha=146.97 beta=146.97 gamma=47.41
Fractional positions:
P (0.0424, 0.0424, 0.0000)
Ta (0.6265, 0.6265, 0.0000)
Pb (0.3311, 0.3311, 0.0000)

=====

Entry four
TaPPb: relaxed, PBE.

Summary:
Magnetic moment, μB/f.u.: 0.00
Calculated volume, Å³/f.u.: 67.01

Unit cell a=7.6012 b=7.4168 c=3.1205 alpha=81.34 beta=74.71 gamma=23.94
Fractional positions:
Ta (0.3553, 0.3553, 0.6447)
Pb (0.6803, 0.6803, 0.3197)
P (0.9644, 0.9644, 0.0356)

=====

Relative energy table, unit eV/atom: entry one 0.199; entry two 0.727; entry three 0.000; entry four 0.243

=====

Entry one
TaPPb: relaxed, PBE.

Summary:
Magnetic moment, μB/f.u.: 0.00
Calculated volume, Å³/f.u.: 68.80

Unit cell a=4.5994 b=4.5994 c=4.5994 alpha=60.00 beta=60.00 gamma=60.00
Fractional positions:
P (0.0000, 0.0000, 0.0000)
Ta (0.2500, 0.2500, 0.2500)
Pb (0.5000, 0.5000, 0.5000)

=====

Entry two
TaPPb: relaxed, PBE.

Summary:
Magnetic moment, μB/f.u.: 0.00
Calculated volume, Å³/f.u.: 63.73

Unit cell a=3.3507 b=3.3507 c=6.5546 alpha=90.00 beta=90.00 gamma=120.00
Fractional positions:
Pb (0.6667, 0.3333, 0.3377)
Ta (0.3333, 0.6667, 0.7169)
P (0.0000, 0.0000, 0.9454)

=====

Relative energy table, unit eV/atom: entry one 0.748; entry two 0.000

=====

Entry one
Tb4PPb2: relaxed, PBE.

Summary:
Magnetic moment, μB/f.u.: 0.00
Calculated volume, Å³/f.u.: 216.32

Unit cell a=5.1593 b=5.1593 c=8.9081 alpha=106.83 beta=106.83 gamma=90.00
Fractional positions:
Tb (0.8317, 0.8317, 0.6635)
Tb (0.5000, 0.0000, 0.0000)
Tb (0.0000, 0.5000, 0.0000)
Tb (0.1683, 0.1683, 0.3365)
P (0.0000, 0.0000, 0.0000)
Pb (0.3630, 0.3630, 0.7260)
Pb (0.6370, 0.6370, 0.2740)

=====

Entry two
Tb4PPb2: relaxed, PBE.

Summary:
Magnetic moment, μB/f.u.: 0.00
Calculated volume, Å³/f.u.: 200.40

Unit cell a=6.6538 b=6.5700 c=9.8176 alpha=90.00 beta=110.95 gamma=90.00
Fractional positions:
Tb (0.0854, 0.7500, 0.4193)
Tb (0.4940, 0.4984, 0.2528)
Tb (0.9354, 0.2500, 0.1304)
Tb (0.5060, 0.5016, 0.7472)
Tb (0.5060, 0.9984, 0.7472)
Tb (0.9146, 0.2500, 0.5807)
Tb (0.4940, 0.0016, 0.2528)
Tb (0.0646, 0.7500, 0.8696)
Pb (0.7093, 0.7500, 0.5487)
Pb (0.3066, 0.2500, 0.9491)
Pb (0.2907, 0.2500, 0.4513)
Pb (0.6934, 0.7500, 0.0509)
P (0.1456, 0.7500, 0.1592)
P (0.8544, 0.2500, 0.8408)

=====

Relative energy table, unit eV/atom: entry one 0.000; entry two 0.037

=====

Entry one
Tb3PPb: relaxed, PBE.

Summary:
Magnetic moment, μB/f.u.: 0.66
Calculated volume, Å³/f.u.: 136.36

Unit cell a=4.2002 b=8.6769 c=14.9659 alpha=90.00 beta=90.00 gamma=90.00
Each line ends with the local moment (μB).
Fractional positions:
Pb (0.7500, 0.9108, 0.8239)  0.00
Pb (0.7500, 0.4108, 0.6761)  0.00
Pb (0.2500, 0.5892, 0.3239)  0.00
Pb (0.2500, 0.0892, 0.1761)  0.00
Tb (0.2500, 0.1902, 0.7853)  0.14
Tb (0.7500, 0.5231, 0.8922)  0.17
Tb (0.7500, 0.0231, 0.6078)  0.17
Tb (0.7500, 0.6619, 0.4855)  0.07
Tb (0.2500, 0.6902, 0.7147)  0.14
Tb (0.2500, 0.3381, 0.5145)  0.07
Tb (0.2500, 0.4769, 0.1078)  0.17
Tb (0.7500, 0.3098, 0.2853)  0.14
Tb (0.7500, 0.8098, 0.2147)  0.14
Tb (0.2500, 0.9769, 0.3922)  0.17
Tb (0.7500, 0.1619, 0.0145)  0.07
Tb (0.2500, 0.8381, 0.9855)  0.07
P (0.2500, 0.8308, 0.5558)  -0.01
P (0.2500, 0.3308, 0.9442)  -0.01
P (0.7500, 0.1692, 0.4442)  -0.01
P (0.7500, 0.6692, 0.0558)  -0.01

=====

Entry two
Tb3PPb: relaxed, PBE.

Summary:
Magnetic moment, μB/f.u.: 0.00
Calculated volume, Å³/f.u.: 147.21

Unit cell a=5.2801 b=5.2801 c=5.2801 alpha=90.00 beta=90.00 gamma=90.00
Fractional positions:
P (0.0000, 0.0000, 0.0000)
Tb (0.0000, 0.0000, 0.5000)
Tb (0.5000, 0.0000, 0.0000)
Tb (0.0000, 0.5000, 0.0000)
Pb (0.5000, 0.5000, 0.5000)

=====

Relative energy table, unit eV/atom: entry one 0.000; entry two 0.175